1.
Here is crystalline BaSrZnAs2 at its relaxed geometry from the Alexandria database. Energies are from PBE-GGA.

Calculated values
Space group: P4/mmm (123)
ΔE_f (eV per atom): 0.710

Structure (extended XYZ):
```
5
Lattice="-5.758 -0.456 0.955 1.200 -1.004 6.756 -0.306 5.775 0.913" Properties=species:S:1:pos:R:3 pbc="T T T"
As -2.879 -0.228 0.478
As -0.153 2.887 0.456
Ba 0.000 0.000 0.000
Sr 0.600 -0.502 3.378
Zn -2.432 2.157 4.312
```

2.
Here is crystalline BaSrZrAs2 at its relaxed geometry from the Alexandria database. Energies are from PBE-GGA.

Calculated values
Space group: P4/mmm (123)
ΔE_f (eV per atom): 1.182

Structure (extended XYZ):
```
5
Lattice="5.787 0.000 0.000 0.000 6.079 0.000 0.000 0.000 5.787" Properties=species:S:1:pos:R:3 pbc="T T T"
As 0.000 0.000 2.894
As 2.894 0.000 0.000
Sr 0.000 3.039 0.000
Ba 0.000 0.000 0.000
Zr 2.894 3.039 2.894
```

3.
Here is crystalline BaTaAs3 at its relaxed geometry from the Alexandria database. Energies are from PBE-GGA.

Calculated values
Space group: Pm-3m (221)
ΔE_f (eV per atom): 2.046

Structure (extended XYZ):
```
5
Lattice="-2.973 0.629 -4.593 -2.676 -4.689 1.091 -3.786 2.821 2.836" Properties=species:S:1:pos:R:3 pbc="T T T"
As -1.893 1.410 1.418
As -1.338 -2.344 0.545
As -1.487 0.314 -2.297
Ba 0.000 0.000 0.000
Ta -4.718 -0.620 -0.333
```

4.
Here is crystalline Ba2TaAs at its relaxed geometry from the Alexandria database. Energies are from PBE-GGA.

Calculated values
Space group: R-3m (166)
ΔE_f (eV per atom): 0.695

Structure (extended XYZ):
```
4
Lattice="-2.275 2.816 10.583 1.124 1.760 10.989 0.401 5.109 9.942" Properties=species:S:1:pos:R:3 pbc="T T T"
Ba -0.748 9.648 31.398
Ba -0.378 4.878 15.875
As -0.188 2.421 7.879
Ta -0.563 7.263 23.636
```

5.
Here is crystalline BaTaAs3 at its relaxed geometry from the Alexandria database. Energies are from PBE-GGA.

Calculated values
Space group: Pm-3m (221)
ΔE_f (eV per atom): -0.511

Structure (extended XYZ):
```
5
Lattice="5.103 0.000 0.000 0.000 5.103 0.000 0.000 0.000 5.103" Properties=species:S:1:pos:R:3 pbc="T T T"
As 2.552 0.000 0.000
As 0.000 2.552 0.000
As 0.000 0.000 2.552
Ba 2.552 2.552 2.552
Ta 0.000 0.000 0.000
```

6.
Here is crystalline Ba2TaAs at its relaxed geometry from the Alexandria database. Energies are from PBE-GGA.

Calculated values
Space group: Cmmm (65)
ΔE_f (eV per atom): 0.505

Structure (extended XYZ):
```
4
Lattice="6.044 0.000 0.000 -1.967 5.715 0.000 0.000 0.000 3.379" Properties=species:S:1:pos:R:3 pbc="T T T"
Ta 3.022 0.000 1.690
Ba 2.038 2.857 0.000
Ba 0.000 0.000 0.000
As -0.984 2.857 1.690
```

7.
Here is crystalline Ba2TaAs at its relaxed geometry from the Alexandria database. Energies are from PBE-GGA.

Calculated values
Space group: I-4m2 (119)
ΔE_f (eV per atom): 0.616

Structure (extended XYZ):
```
4
Lattice="-0.788 -5.862 1.498 0.904 -3.678 -4.784 3.267 4.531 2.456" Properties=species:S:1:pos:R:3 pbc="T T T"
Ba 2.115 -1.958 -1.986
Ba 0.000 0.000 0.000
As 1.269 -3.051 1.155
Ta 0.058 -4.770 -1.643
```

8.
Here is crystalline Ba2TaAs at its relaxed geometry from the Alexandria database. Energies are from PBE-GGA.

Calculated values
Space group: I4/mmm (139)
ΔE_f (eV per atom): 0.556

Structure (extended XYZ):
```
4
Lattice="-4.172 -2.889 3.074 -2.532 -3.170 -4.329 5.792 0.197 1.274" Properties=species:S:1:pos:R:3 pbc="T T T"
Ta -0.866 -2.861 1.860
As -0.046 -3.001 -1.842
Ba -3.352 -3.030 -0.628
Ba -6.704 -6.059 -1.255
```

9.
Here is crystalline Ba2TaAs at its relaxed geometry from the Alexandria database. Energies are from PBE-GGA.

Calculated values
Space group: F-43m (216)
ΔE_f (eV per atom): 0.679

Structure (extended XYZ):
```
4
Lattice="5.551 0.000 0.000 2.775 4.807 0.000 2.775 1.602 4.532" Properties=species:S:1:pos:R:3 pbc="T T T"
As 5.551 3.205 2.266
Ta 8.326 4.807 3.399
Ba 2.775 1.602 1.133
Ba 0.000 0.000 0.000
```

10.
Here is crystalline BaTa2As2 at its relaxed geometry from the Alexandria database. Energies are from PBE-GGA.

Calculated values
Space group: I4/mmm (139)
ΔE_f (eV per atom): -0.199

Structure (extended XYZ):
```
5
Lattice="5.010 0.000 0.000 0.000 5.010 0.000 2.505 2.505 4.667" Properties=species:S:1:pos:R:3 pbc="T T T"
Ta 5.010 5.010 3.368
Ta 2.505 2.505 1.299
As 5.010 2.505 2.333
As 2.505 5.010 2.333
Ba 0.000 0.000 0.000
```

11.
Here is crystalline BaTa2As2 at its relaxed geometry from the Alexandria database. Energies are from PBE-GGA.

Calculated values
Space group: P4/mmm (123)
ΔE_f (eV per atom): -0.562

Structure (extended XYZ):
```
5
Lattice="-0.742 -0.136 -3.958 0.876 -3.933 -0.029 -7.041 -1.578 1.374" Properties=species:S:1:pos:R:3 pbc="T T T"
Ta -3.083 -2.755 0.673
Ta -3.891 -0.857 -1.292
As -5.197 -3.214 -0.966
As -1.710 -2.433 -1.647
Ba 0.000 0.000 0.000
```

12.
Here is crystalline BaTa2As2 at its relaxed geometry from the Alexandria database. Energies are from PBE-GGA.

Calculated values
Space group: P4/mbm (127)
ΔE_f (eV per atom): 0.027

Structure (extended XYZ):
```
10
Lattice="8.143 0.000 0.000 0.000 8.143 0.000 0.000 0.000 3.307" Properties=species:S:1:pos:R:3 pbc="T T T"
Ta 0.987 5.059 1.653
Ta 7.156 3.085 1.653
Ta 5.059 7.156 1.653
Ta 3.085 0.987 1.653
As 1.148 2.923 0.000
As 5.220 1.148 0.000
As 2.923 6.995 0.000
As 6.995 5.220 0.000
Ba 4.072 4.072 0.000
Ba 0.000 0.000 0.000
```